Computed, not measured: an optimized crystal structure of NbPPdO2 at the GGA-PBE level of DFT.

Properties
Its symmetry is P4/mmm, No. 123. The total energy is -0.437 Ry/atom. The offset from the most stable computed form comes out at 1.2009 eV per atom. Its crystal system is tetragonal. As for the calculated volume: 72 Å³ per cell. For the size of the total moment, the calculation gives 0.89 Bohr magnetons per cell.

Lattice parameters (Å, degrees): 3.906 3.906 4.718 90.00 90.00 90.00
Atoms (fractional coordinates):
Nb (0.000, 0.000, 0.000)
P (0.500, 0.500, 0.000)
Pd (0.500, 0.500, 0.500)
O (0.000, 0.500, 0.500)
O (0.500, 0.000, 0.500)

Computed, not measured: an optimized crystal structure of Re2SiPb at the GGA-PBE level of DFT.

Properties
Its symmetry is Pm, No. 6. The total energy is -0.579 Ry/atom. The offset from the most stable computed form comes out at 0.2831 eV per atom. Its crystal system is monoclinic. As for the calculated volume: 69 Å³ per cell. For the size of the total moment, the calculation gives 0.00 Bohr magnetons per cell.

Lattice parameters (Å, degrees): 3.075 4.467 5.286 90.00 106.85 90.00
Atoms (fractional coordinates):
Re (0.000, 0.000, 0.000)
Re (0.406, 0.500, 0.819)
Si (0.103, 0.500, 0.214)
Pb (0.735, 0.000, 0.474)

no.,raw formation energy (eV/atom)
1,0.167
2,0.633